1.
A plane-wave DFT calculation with PBE-GGA was carried out for MgAgBPd2 after structural relaxation.

Fermi-level density of states = 2.36 states/eV/f.u.
Energy of formation from the pure elements = -0.230 eV/atom
Uncorrected energy = -4.53 eV per atom

Unit cell a=4.1960 b=4.1960 c=4.3730 alpha=90.00 beta=90.00 gamma=90.00
Last column: nearest neighbours and their distance in Å.
Space group P4/mmm (No. 123)
One atom of each set of equivalent atoms:
Mg (0.0000, 0.0000, 0.0000)  4 Ag 2.97, 8 Pd 3.03
Ag (0.5000, 0.5000, 0.0000)  2 B 2.19
B (0.5000, 0.5000, 0.5000)  4 Pd 2.10, 2 Ag 2.19
Pd (0.0000, 0.5000, 0.5000)  2 B 2.10

2.
A plane-wave DFT calculation with PBE-GGA was carried out for Mg2AgB2Pd5 after structural relaxation.

Fermi-level density of states = 4.19 states/eV/f.u.
Energy of formation from the pure elements = -0.373 eV/atom
Uncorrected energy = -4.91 eV per atom

Unit cell a=9.5254 b=9.5254 c=3.1537 alpha=90.00 beta=90.00 gamma=90.00
Last column: nearest neighbours and their distance in Å.
Space group P4/mbm (No. 127)
One atom of each set of equivalent atoms:
Mg (0.1758, 0.3242, 0.0000)  3 B 2.69-2.90, 10 Pd 2.85-3.00
Ag (0.0000, 0.0000, 0.0000)  8 Pd 2.74
B (0.1245, 0.6245, 0.0000)  6 Pd 2.20-2.30
Pd (0.0000, 0.5000, 0.5000)  4 B 2.30
Pd (0.0730, 0.7765, 0.5000)  2 B 2.20

3.
A plane-wave DFT calculation with PBE-GGA was carried out for MgAgBPt2 after structural relaxation.

Fermi-level density of states = 2.52 states/eV/f.u.
Energy of formation from the pure elements = -0.298 eV/atom
Uncorrected energy = -4.94 eV per atom

Unit cell a=4.1938 b=4.1938 c=4.4292 alpha=90.00 beta=90.00 gamma=90.00
Last column: nearest neighbours and their distance in Å.
Space group P4/mmm (No. 123)
One atom of each set of equivalent atoms:
Mg (0.0000, 0.0000, 0.0000)  4 Ag 2.97, 8 Pt 3.05
Ag (0.5000, 0.5000, 0.0000)  2 B 2.21
B (0.5000, 0.5000, 0.5000)  4 Pt 2.10, 2 Ag 2.21
Pt (0.0000, 0.5000, 0.5000)  2 B 2.10

4.
A plane-wave DFT calculation with PBE-GGA was carried out for Mg2AgB2Rh5 after structural relaxation.

Fermi-level density of states = 5.18 states/eV/f.u.
Energy of formation from the pure elements = -0.416 eV/atom
Uncorrected energy = -6.03 eV per atom

Unit cell a=9.6433 b=9.6433 c=2.9432 alpha=90.00 beta=90.00 gamma=90.00
Last column: nearest neighbours and their distance in Å.
Space group P4/mbm (No. 127)
One atom of each set of equivalent atoms:
Mg (0.1779, 0.3221, 0.0000)  3 B 2.69-2.96, 10 Rh 2.84-2.96, 2 Mg 2.94
Ag (0.0000, 0.0000, 0.0000)  8 Rh 2.72, 2 Ag 2.94
B (0.1246, 0.6246, 0.0000)  6 Rh 2.12-2.25
Rh (0.0000, 0.5000, 0.5000)  4 B 2.25
Rh (0.0705, 0.7740, 0.5000)  2 B 2.12

5.
A plane-wave DFT calculation with PBE-GGA was carried out for MgAgBRh2 after structural relaxation.

Fermi-level density of states = 1.18 states/eV/f.u.
Energy of formation from the pure elements = -0.249 eV/atom
Uncorrected energy = -5.41 eV per atom

Unit cell a=4.1336 b=4.1336 c=4.2842 alpha=90.00 beta=90.00 gamma=90.00
Last column: nearest neighbours and their distance in Å.
Space group P4/mmm (No. 123)
One atom of each set of equivalent atoms:
Mg (0.0000, 0.0000, 0.0000)  4 Ag 2.92, 8 Rh 2.98
Ag (0.5000, 0.5000, 0.0000)  2 B 2.14
B (0.5000, 0.5000, 0.5000)  4 Rh 2.07, 2 Ag 2.14
Rh (0.0000, 0.5000, 0.5000)  2 B 2.07

6.
A plane-wave DFT calculation with PBE-GGA was carried out for MgAg2BSe after structural relaxation.

Fermi-level density of states = 2.35 states/eV/f.u.
ΔE_f (raw) = 6.31 eV/f.u.
Uncorrected energy = -2.23 eV per atom

Unit cell a=5.0826 b=5.0826 c=4.8896 alpha=90.00 beta=90.00 gamma=90.00
Last column: nearest neighbours and their distance in Å.
Space group P4/mmm (No. 123)
One atom of each set of equivalent atoms:
Mg (0.0000, 0.0000, 0.0000)  2 Se 2.44, 4 Ag 2.54
Ag (0.0000, 0.5000, 0.0000)  2 Mg 2.54
B (0.5000, 0.5000, 0.5000)  8 Ag 3.53, 4 Se 3.59
Se (0.0000, 0.0000, 0.5000)  2 Mg 2.44

7.
A plane-wave DFT calculation with PBE-GGA was carried out for MgTa2AgB after structural relaxation.

Fermi-level density of states = 2.90 states/eV/f.u.
Energy of formation from the pure elements = 2.498 eV/atom
Uncorrected energy = -4.47 eV per atom

Unit cell a=4.7805 b=4.7805 c=4.4474 alpha=90.00 beta=90.00 gamma=90.00
Last column: nearest neighbours and their distance in Å.
Space group P4/mmm (No. 123)
One atom of each set of equivalent atoms:
Mg (0.0000, 0.0000, 0.0000)  2 Ag 2.22, 4 Ta 2.39
Ta (0.0000, 0.5000, 0.0000)  2 Mg 2.39
Ag (0.0000, 0.0000, 0.5000)  2 Mg 2.22
B (0.5000, 0.5000, 0.5000)  8 Ta 3.26, 4 Ag 3.38

8.
A plane-wave DFT calculation with PBE-GGA was carried out for MgTl2AgB after structural relaxation.

Fermi-level density of states = 3.04 states/eV/f.u.
Energy of formation from the pure elements = 1.165 eV/atom
Uncorrected energy = -2.01 eV per atom

Unit cell a=5.4381 b=5.4381 c=5.0994 alpha=90.00 beta=90.00 gamma=90.00
Last column: nearest neighbours and their distance in Å.
Space group P4/mmm (No. 123)
One atom of each set of equivalent atoms:
Mg (0.0000, 0.0000, 0.0000)  2 Ag 2.55
Tl (0.0000, 0.5000, 0.5000)  2 Ag 2.72
Ag (0.0000, 0.0000, 0.5000)  2 Mg 2.55, 4 Tl 2.72
B (0.5000, 0.5000, 0.0000)  8 Tl 3.73, 4 Mg 3.85

9.
A plane-wave DFT calculation with PBE-GGA was carried out for MgAgBW2 after structural relaxation.

Fermi-level density of states = 5.22 states/eV/f.u.
Energy of formation from the pure elements = 0.560 eV/atom
Uncorrected energy = -6.85 eV per atom

Unit cell a=4.2012 b=4.2012 c=4.4756 alpha=90.00 beta=90.00 gamma=90.00
Last column: nearest neighbours and their distance in Å.
Space group P4/mmm (No. 123)
One atom of each set of equivalent atoms:
Mg (0.0000, 0.0000, 0.0000)  2 B 2.24
Ag (0.5000, 0.5000, 0.0000)  4 Mg 2.97, 8 W 3.07
B (0.0000, 0.0000, 0.5000)  4 W 2.10, 2 Mg 2.24
W (0.0000, 0.5000, 0.5000)  2 B 2.10

10.
A plane-wave DFT calculation with PBE-GGA was carried out for MnAg3B after structural relaxation.

Fermi-level density of states = 3.23 states/eV/f.u.
Energy above the lowest structure with this stoichiometry = 27.70 kcal/mol of atoms
Energy of formation from the pure elements = 1.782 eV/atom
Uncorrected energy = -3.10 eV per atom

Unit cell a=4.9582 b=4.9582 c=4.9582 alpha=90.00 beta=90.00 gamma=90.00
Last column: nearest neighbours and their distance in Å.
Space group Pm-3m (No. 221)
One atom of each set of equivalent atoms:
Mn (0.0000, 0.0000, 0.0000)  6 Ag 2.48
Ag (0.0000, 0.0000, 0.5000)  2 Mn 2.48
B (0.5000, 0.5000, 0.5000)  12 Ag 3.51

11.
A plane-wave DFT calculation with PBE-GGA was carried out for Mn2Ag2B after structural relaxation.

Fermi-level density of states = 5.58 states/eV/f.u.
Energy above the lowest structure with this stoichiometry = 6.02 kcal/mol of atoms
Energy of formation from the pure elements = 1.069 eV/atom
Uncorrected energy = -5.07 eV per atom

Unit cell a=3.0756 b=3.0756 c=14.7424 alpha=90.00 beta=90.00 gamma=90.00
Last column: nearest neighbours and their distance in Å.
Space group I4/mmm (No. 139)
One atom of each set of equivalent atoms:
Mn (0.0000, 0.5000, 0.2500)  4 Mn 2.17
Ag (0.0000, 0.0000, 0.0921)  4 B 2.56, 1 Ag 2.72, 4 Mn 2.79
B (0.0000, 0.0000, 0.5000)  8 Ag 2.56

12.
A plane-wave DFT calculation with PBE-GGA was carried out for MnAg3B after structural relaxation.

Fermi-level density of states = 2.22 states/eV/f.u.
Energy above the lowest structure with this stoichiometry = 0.00 kcal/mol of atoms
Energy of formation from the pure elements = 0.581 eV/atom
Uncorrected energy = -4.30 eV per atom

Unit cell a=4.3536 b=4.3536 c=4.3536 alpha=90.00 beta=90.00 gamma=90.00
Last column: nearest neighbours and their distance in Å.
Space group Pm-3m (No. 221)
One atom of each set of equivalent atoms:
Mn (0.0000, 0.0000, 0.0000)  12 Ag 3.08
Ag (0.0000, 0.5000, 0.5000)  2 B 2.18
B (0.5000, 0.5000, 0.5000)  6 Ag 2.18

Which formula does entry 7 have? MgTa2AgB